# FeMoF3

Crystalline FeMoF3 at its relaxed geometry (GGA+U, the Alexandria database). Values from VASP.

```
&SYSTEM
  ibrav = 0, nat = 5, ntyp = 3
/
ATOMIC_SPECIES
Fe 55.84 Fe.upf
Mo 95.94 Mo.upf
F 19.00 F.upf
CELL_PARAMETERS angstrom
4.157 0.000 0.000
0.000 4.157 0.000
0.000 0.000 4.157
ATOMIC_POSITIONS crystal
Fe 0.000 0.000 0.000
Mo 0.500 0.500 0.500
F 0.000 0.000 0.500
F 0.000 0.500 0.000
F 0.500 0.000 0.000
```

Calculated values
The calculation puts the total energy at -24.900 eV/cell. The value obtained for the energy above the most stable polymorph in this dataset is 0 meV per atom. The density of states at the Fermi level comes out at 0.9680 states/eV per atom. As for the spin magnetization: 1.850 μB/atom. As for the crystal system: cubic. As for the symmetry: Pm-3m.